[1]
VASP calculation (PBE) on a relaxed Sm2Tl2ZnCd crystal.

Properties
The total magnetic moment is 0.00 μB per cell. The space-group type is P3m1. For the total energy, the calculation gives -3.07 eV per atom.

a = 4.827 Å, b = 4.827 Å, c = 7.576 Å
α = 90.00°, β = 90.00°, γ = 120.00°
Element x y z (fractional)
Cd 0.667 0.333 0.541
Sm 0.000 0.000 0.243
Sm 0.000 0.000 0.752
Tl 0.333 0.667 0.452
Tl 0.667 0.333 0.968
Zn 0.333 0.667 0.045

***

[2]
VASP calculation (PBE) on a relaxed SmTmCd4 crystal.

Properties
The total magnetic moment is 0.02 μB per cell. The calculation puts the energy relative to the elements at -321 meV/atom. The space-group type is P2/m.

a = 3.382 Å, b = 4.967 Å, c = 8.610 Å
α = 90.00°, β = 90.02°, γ = 90.00°
Element x y z (fractional)
Cd 0.497 0.500 0.171
Cd 0.503 0.000 0.337
Cd 0.497 0.000 0.663
Cd 0.503 0.500 0.829
Sm 0.000 0.000 0.000
Tm 0.000 0.500 0.500

***

[3]
VASP calculation (PBE) on a relaxed SmTmCd crystal.

Properties
The value obtained for the polymorph energy (0 for the lowest one) is 0.0 meV/atom. The total magnetic moment is 0.02 μB per cell. The calculation puts the energy relative to the elements at 460 meV/atom. The space-group type is F-43m.

a = 5.037 Å, b = 5.037 Å, c = 5.037 Å
α = 60.00°, β = 60.00°, γ = 60.00°
Element x y z (fractional)
Cd 0.250 0.250 0.250
Sm 0.750 0.750 0.750
Tm 0.000 0.000 0.000